[1]
This record from the Alexandria database describes a relaxed structure of Li2MgNi. The functional is PBE.

Symmetry: No. 166
Energy relative to the elements: 81 meV/atom

Cell lengths 2.811, 2.811, 27.470 Å; angles 90.00, 90.00, 120.00 degrees
Fractional coordinates of all 12 atoms:
Li 0.000 0.000 0.238
Li 0.000 0.000 0.762
Li 0.333 0.667 0.428
Li 0.333 0.667 0.905
Li 0.667 0.333 0.095
Li 0.667 0.333 0.572
Mg 0.000 0.000 0.000
Mg 0.333 0.667 0.667
Mg 0.667 0.333 0.333
Ni 0.000 0.000 0.500
Ni 0.333 0.667 0.167
Ni 0.667 0.333 0.833



[2]
This record from the Alexandria database describes a relaxed structure of Sm4PuS7. The functional is PBE.

Formation energy from raw total energies: -1.9804 eV per atom
Symmetry: No. 8

Cell lengths 6.852, 6.852, 11.811 Å; angles 104.26, 104.26, 33.20 degrees
Fractional coordinates of all 12 atoms:
Sm 0.000 0.000 0.000
Sm 0.189 0.189 0.768
Sm 0.583 0.583 0.384
Sm 0.886 0.886 0.575
Pu 0.771 0.771 0.153
S 0.149 0.149 0.226
S 0.226 0.226 0.526
S 0.383 0.383 0.075
S 0.546 0.546 0.627
S 0.624 0.624 0.926
S 0.844 0.844 0.791
S 0.928 0.928 0.360



[3]
This record from the Alexandria database describes a relaxed structure of Ho2Si4Ru3. The functional is PBE.

Formation energy from raw total energies: -0.7739 eV per atom
Symmetry: No. 14

Cell lengths 6.634, 6.647, 6.998 Å; angles 90.00, 111.32, 90.00 degrees
Fractional coordinates of all 18 atoms:
Ho 0.189 0.170 0.061
Ho 0.189 0.330 0.561
Ho 0.811 0.670 0.439
Ho 0.811 0.830 0.939
Si 0.107 0.567 0.875
Si 0.107 0.933 0.375
Si 0.476 0.651 0.621
Si 0.476 0.849 0.121
Si 0.524 0.151 0.879
Si 0.524 0.349 0.379
Si 0.893 0.067 0.625
Si 0.893 0.433 0.125
Ru 0.239 0.629 0.253
Ru 0.239 0.871 0.753
Ru 0.500 0.000 0.500
Ru 0.500 0.500 0.000
Ru 0.761 0.129 0.247
Ru 0.761 0.371 0.747



[4]
This record from the Alexandria database describes a relaxed structure of Ca2AlAu. The functional is PBE.

Symmetry: No. 44
Energy relative to the elements: -454 meV/atom

Cell lengths 3.579, 5.203, 10.875 Å; angles 90.00, 90.00, 90.00 degrees
Fractional coordinates of all 8 atoms:
Ca 0.000 0.000 0.000
Ca 0.000 0.500 0.200
Ca 0.500 0.000 0.700
Ca 0.500 0.500 0.500
Al 0.000 0.500 0.779
Al 0.500 0.000 0.279
Au 0.000 0.000 0.454
Au 0.500 0.500 0.954



[5]
This record from the Alexandria database describes a relaxed structure of TiZn4Ru. The functional is PBE.

Symmetry: No. 216
Energy relative to the elements: -222 meV/atom

Cell lengths 4.919, 4.919, 4.919 Å; angles 60.00, 60.00, 60.00 degrees
Fractional coordinates of all 6 atoms:
Ti 0.000 0.000 0.000
Zn 0.375 0.375 0.375
Zn 0.375 0.375 0.874
Zn 0.375 0.874 0.375
Zn 0.874 0.375 0.375
Ru 0.750 0.750 0.750



[6]
This record from the Alexandria database describes a relaxed structure of BeBH4. The functional is PBE.

Symmetry: No. 12
Energy above the lowest structure with this stoichiometry: 0.224 eV per atom

Cell lengths 8.623, 2.234, 4.333 Å; angles 90.00, 117.76, 90.00 degrees
Fractional coordinates of all 12 atoms:
Be 0.000 0.000 0.000
Be 0.500 0.500 0.000
B 0.000 0.500 0.500
B 0.500 0.000 0.500
H 0.115 0.500 0.964
H 0.144 0.500 0.527
H 0.356 0.000 0.473
H 0.385 0.000 0.036
H 0.615 0.000 0.964
H 0.644 0.000 0.527
H 0.856 0.500 0.473
H 0.885 0.500 0.036



no.,spin magnetization (μB/f.u.),DFT total energy (eV per atom)
1,0.000,-2.719
2,5.605,-7.155
3,0.000,-7.293
4,0.000,-3.209
5,0.000,-3.933
6,0.000,-3.572